Compound: SrThTlCd
Source: Alexandria
Functional: GGA-PBE
Structure: relaxed

Cell: 5.596 5.596 5.596 Å, 60.00 60.00 60.00°
Fractional coordinates of all 4 atoms:
1 Sr 0.000 0.000 0.000
2 Th 0.500 0.500 0.500
3 Tl 0.750 0.750 0.750
4 Cd 0.250 0.250 0.250

## Properties
**SG**: F-43m, No. 216
**Formation energy**: -0.47 eV per formula unit
**M_tot**: 0.0 μB/f.u.